Entry from Alexandria: a geometry-optimized Li2Mn3F8 structure (PBE with a Hubbard U).

a = 5.445 Å, b = 9.452 Å, c = 6.567 Å
α = 90.00°, β = 90.00°, γ = 90.00°
Positions (direct):
Li1 0.018 0.181 0.000
Li2 0.482 0.681 0.500
Li3 0.518 0.319 0.500
Li4 0.982 0.819 0.000
Mn1 0.000 0.000 0.500
Mn2 0.000 0.500 0.265
Mn3 0.000 0.500 0.735
Mn4 0.500 0.000 0.235
Mn5 0.500 0.000 0.765
Mn6 0.500 0.500 0.000
F1 0.149 0.381 0.000
F2 0.169 0.115 0.257
F3 0.169 0.115 0.743
F4 0.179 0.387 0.500
F5 0.321 0.887 0.000
F6 0.331 0.615 0.243
F7 0.331 0.615 0.757
F8 0.351 0.881 0.500
F9 0.649 0.119 0.500
F10 0.669 0.385 0.243
F11 0.669 0.385 0.757
F12 0.679 0.113 0.000
F13 0.821 0.613 0.500
F14 0.831 0.885 0.257
F15 0.831 0.885 0.743
F16 0.851 0.619 0.000

Properties
* density of states at the Fermi level: 0.000 states/eV per cell
* raw total energy: -5.885 eV/atom
* space group: Pnnm, No. 58
* volume: 338 Å³ per cell
* total moment: 15.000 μB/f.u.